Entry 1:
## Sb2TeMo2 (PBE)

Data for Sb2TeMo2 after structural relaxation.

abc: 7.8736 7.8736 3.3308
angles: 90.00 90.00 90.00
Positions (direct):
Mo 0.3557 0.8557 0.0000
Mo 0.6443 0.1443 0.0000
Mo 0.8557 0.6443 0.0000
Mo 0.1443 0.3557 0.0000
Sb 0.6459 0.8541 0.5000
Sb 0.3541 0.1459 0.5000
Sb 0.8541 0.3541 0.5000
Sb 0.1459 0.6459 0.5000
Te 0.5000 0.5000 0.0000
Te 0.0000 0.0000 0.0000

The calculation puts the uncorrected formation energy at 0.2732 eV per atom. The magnetization comes out at 0.01 μB/cell. The calculated density comes out at 9.06 g cm⁻³.

=====

Entry 2:
## Sb3TeMo (PBE)

Data for Sb3TeMo after structural relaxation.

abc: 5.2320 5.2320 5.2320
angles: 90.00 90.00 90.00
Positions (direct):
Te 0.5000 0.5000 0.5000
Mo 0.0000 0.0000 0.0000
Sb 0.5000 0.0000 0.0000
Sb 0.0000 0.5000 0.0000
Sb 0.0000 0.0000 0.5000

For the excess energy over the best structure of this formula in the dataset, the calculation gives 0 meV/atom. The calculation puts the uncorrected formation energy at 0.3395 eV per atom. The magnetization comes out at 0.00 μB/cell. The calculated density comes out at 6.83 g cm⁻³.

=====

Entry 3:
## Sb2TeMo (PBE)

Data for Sb2TeMo after structural relaxation.

abc: 5.0342 5.0342 5.0342
angles: 120.09 120.09 89.84
Positions (direct):
Mo 0.7500 0.2500 0.5000
Sb 0.0000 0.0000 0.0000
Sb 0.2500 0.7500 0.5000
Te 0.5000 0.5000 0.0000

The calculation puts the uncorrected formation energy at 0.5669 eV per atom. The magnetization comes out at 0.00 μB/cell. The calculated density comes out at 8.61 g cm⁻³.

=====

Entry 4:
## Sb2TeMo (PBE)

Data for Sb2TeMo after structural relaxation.

abc: 3.4597 6.3276 6.3264
angles: 48.70 90.00 90.00
Positions (direct):
Mo 0.5000 0.7500 0.7500
Sb 0.0000 0.9380 0.9380
Sb 0.0000 0.5620 0.5620
Te 0.5000 0.2500 0.2500

The calculation puts the uncorrected formation energy at 0.0827 eV per atom. The magnetization comes out at 0.00 μB/cell. The calculated density comes out at 7.45 g cm⁻³.

=====

Entry 5:
## SbTe2Mo (PBE)

Data for SbTe2Mo after structural relaxation.

abc: 3.4253 6.1622 6.1619
angles: 52.29 90.00 90.00
Positions (direct):
Mo 0.0000 0.4980 0.4981
Te 0.0000 0.9949 0.9950
Te 0.5000 0.3098 0.3097
Sb 0.5000 0.6973 0.6972

The calculation puts the uncorrected formation energy at 0.0539 eV per atom. The magnetization comes out at 0.00 μB/cell. The calculated density comes out at 7.63 g cm⁻³.

=====

Entry 6:
## Sb2TeMo (PBE)

Data for Sb2TeMo after structural relaxation.

abc: 3.4619 3.4619 7.8096
angles: 90.00 90.00 90.00
Positions (direct):
Sb 0.0000 0.0000 0.9649
Sb 0.5000 0.5000 0.2103
Mo 0.5000 0.5000 0.7627
Te 0.0000 0.0000 0.5621

The calculation puts the uncorrected formation energy at 0.1729 eV per atom. The magnetization comes out at 0.00 μB/cell. The calculated density comes out at 8.29 g cm⁻³.

=====

Entry 7:
## Sb2TeMo (PBE)

Data for Sb2TeMo after structural relaxation.

abc: 3.3085 3.3085 9.0909
angles: 90.00 90.00 90.00
Positions (direct):
Mo 0.5000 0.5000 0.7500
Te 0.5000 0.5000 0.2500
Sb 0.0000 0.0000 0.9300
Sb 0.0000 0.0000 0.5700

The calculation puts the uncorrected formation energy at 0.1801 eV per atom. The magnetization comes out at 0.00 μB/cell. The calculated density comes out at 7.79 g cm⁻³.

=====

Entry 8:
## Sb2TeMo (PBE)

Data for Sb2TeMo after structural relaxation.

abc: 6.9433 6.9433 6.9433
angles: 152.08 140.53 49.04
Positions (direct):
Mo 0.2500 0.7500 0.5000
Sb 0.4333 0.4333 0.0000
Sb 0.0667 0.0667 0.0000
Te 0.7500 0.2500 0.5000

The calculation puts the uncorrected formation energy at 0.3289 eV per atom. The magnetization comes out at 0.00 μB/cell. The calculated density comes out at 7.82 g cm⁻³.

=====

Entry 9:
## SbTe2Mo (PBE)

Data for SbTe2Mo after structural relaxation.

abc: 5.2346 5.2346 6.8246
angles: 71.79 71.79 38.10
Positions (direct):
Te 0.9810 0.9810 0.9589
Te 0.1703 0.1703 0.2946
Mo 0.5327 0.5327 0.6219
Sb 0.8161 0.8161 0.6246

The calculation puts the uncorrected formation energy at 0.0534 eV per atom. The magnetization comes out at 0.00 μB/cell. The calculated density comes out at 7.21 g cm⁻³.

=====

Entry 10:
## SbTe2Mo (PBE)

Data for SbTe2Mo after structural relaxation.

abc: 5.3502 5.3502 5.3502
angles: 128.30 128.30 76.13
Positions (direct):
Sb 0.7500 0.2500 0.5000
Te 0.0000 0.0000 0.0000
Te 0.2500 0.7500 0.5000
Mo 0.5000 0.5000 0.0000

The calculation puts the uncorrected formation energy at 0.6610 eV per atom. The magnetization comes out at 0.00 μB/cell. The calculated density comes out at 8.57 g cm⁻³.

=====

Entry 11:
## SbTe2Mo (PBE)

Data for SbTe2Mo after structural relaxation.

abc: 3.7595 6.0372 6.0351
angles: 52.27 90.00 90.00
Positions (direct):
Te 0.0000 0.0642 0.0642
Te 0.0000 0.4358 0.4358
Mo 0.5000 0.2500 0.2500
Sb 0.5000 0.7500 0.7500

The calculation puts the uncorrected formation energy at 0.1346 eV per atom. The magnetization comes out at 0.00 μB/cell. The calculated density comes out at 7.25 g cm⁻³.

=====

Entry 12:
## SbTe2Mo (PBE)

Data for SbTe2Mo after structural relaxation.

abc: 5.2561 5.2561 5.2525
angles: 70.59 70.59 109.65
Site moments in Bohr magnetons follow the coordinates.
Positions (direct):
Sb 0.0000 0.5000 0.5000  -0.03
Mo 0.5000 0.0000 0.5000  2.99
Te 0.5000 0.5000 0.0000  -0.02
Te 0.0000 0.0000 0.0000  -0.02

The calculation puts the uncorrected formation energy at 0.5116 eV per atom. The magnetization comes out at 3.54 μB/cell. The calculated density comes out at 7.03 g cm⁻³.

=====

Entry 13:
## Sb2TeMo (PBE)

Data for Sb2TeMo after structural relaxation.

abc: 4.7059 3.9561 6.2941
angles: 90.09 90.00 90.00
Positions (direct):
Mo 0.5000 0.7497 0.7851
Te 0.0000 0.7493 0.5699
Sb 0.5000 0.2505 0.0921
Sb 0.0000 0.7505 0.0528

The calculation puts the uncorrected formation energy at 0.4037 eV per atom. The magnetization comes out at 0.00 μB/cell. The calculated density comes out at 6.62 g cm⁻³.

=====

Entry 14:
## SbTe2Mo (PBE)

Data for SbTe2Mo after structural relaxation.

abc: 7.2621 7.2621 7.2621
angles: 153.35 142.05 46.98
Positions (direct):
Sb 0.3322 0.8322 0.5000
Te 0.6767 0.1767 0.5000
Te 0.9773 0.9773 0.0000
Mo 0.5138 0.5138 0.0000

The calculation puts the uncorrected formation energy at 0.2409 eV per atom. The magnetization comes out at 0.00 μB/cell. The calculated density comes out at 7.46 g cm⁻³.

=====

Entry 15:
## Sb2TeMo (PBE)

Data for Sb2TeMo after structural relaxation.

abc: 9.8892 9.8892 9.8892
angles: 19.78 19.78 19.78
Positions (direct):
Sb 0.4839 0.4839 0.4839
Sb 0.0161 0.0161 0.0161
Te 0.2500 0.2500 0.2500
Mo 0.7500 0.7500 0.7500

The calculation puts the uncorrected formation energy at 0.1889 eV per atom. The magnetization comes out at 0.00 μB/cell. The calculated density comes out at 8.00 g cm⁻³.

=====

Entry 16:
## Sb2TeMo (PBE)

Data for Sb2TeMo after structural relaxation.

abc: 6.5627 6.5627 7.8998
angles: 65.46 65.46 90.00
Positions (direct):
Mo 0.5000 0.5000 0.0000
Mo 0.2500 0.7500 0.5000
Sb 0.1865 0.6250 0.2500
Sb 0.8750 0.8135 0.7500
Sb 0.5635 0.1250 0.2500
Sb 0.3750 0.4365 0.7500
Te 0.0000 0.0000 0.0000
Te 0.7500 0.2500 0.5000

The calculation puts the uncorrected formation energy at 0.6357 eV per atom. The magnetization comes out at 0.00 μB/cell. The calculated density comes out at 5.63 g cm⁻³.

=====

Entry 17:
## SbTe2Mo (PBE)

Data for SbTe2Mo after structural relaxation.

abc: 3.1878 3.1878 10.8965
angles: 90.00 90.00 114.56
Positions (direct):
Te 0.0000 0.0000 0.4482
Te 0.0000 0.0000 0.0518
Mo 0.5000 0.5000 0.2500
Sb 0.5000 0.5000 0.7500

The calculation puts the uncorrected formation energy at 0.4321 eV per atom. The magnetization comes out at 0.00 μB/cell. The calculated density comes out at 7.80 g cm⁻³.

=====

Entry 18:
## SbTe2Mo (PBE)

Data for SbTe2Mo after structural relaxation.

abc: 3.2846 3.2846 9.4655
angles: 90.00 90.00 90.00
Positions (direct):
Te 0.5000 0.5000 0.3323
Te 0.0000 0.0000 0.9855
Sb 0.5000 0.5000 0.6830
Mo 0.0000 0.0000 0.4991

The calculation puts the uncorrected formation energy at 0.0991 eV per atom. The magnetization comes out at 0.00 μB/cell. The calculated density comes out at 7.69 g cm⁻³.

=====

Entry 19:
## SbTe2Mo (PBE)

Data for SbTe2Mo after structural relaxation.

abc: 10.2277 10.2277 10.2277
angles: 19.80 19.80 19.80
Positions (direct):
Mo 0.5000 0.5000 0.5000
Te 0.8948 0.8948 0.8948
Te 0.1052 0.1052 0.1052
Sb 0.0000 0.0000 0.0000

The calculation puts the uncorrected formation energy at 0.1221 eV per atom. The magnetization comes out at 0.00 μB/cell. The calculated density comes out at 7.32 g cm⁻³.

=====

Entry 20:
## Sb2TeMo (PBE)

Data for Sb2TeMo after structural relaxation.

abc: 9.7896 9.7896 9.7896
angles: 20.34 20.34 20.34
Positions (direct):
Mo 0.7481 0.7481 0.7481
Te 0.4788 0.4788 0.4788
Sb 0.0136 0.0136 0.0136
Sb 0.2595 0.2595 0.2595

The calculation puts the uncorrected formation energy at 0.1138 eV per atom. The magnetization comes out at 0.00 μB/cell. The calculated density comes out at 7.82 g cm⁻³.

=====

Here are the calculated density of states at the Fermi level numbers, same order: 1.1531, 0.4431, 0.8613, 0.6704, 0.4941, 0.5345, 1.0069, 0.8419, 0.8258, 0.7916, 0.7578, 0.6828, 0.7542, 0.7757, 0.6697, 0.7223, 1.0655, 0.6566, 1.0056, 0.7071 (states/eV/atom).